1.
Density functional theory data (PBE) for a relaxed Na2AgSnCl crystal.

Results
The uncorrected formation energy comes out at -0.218 eV per atom. The density of states at the Fermi level comes out at 2.736 states/eV/f.u.

Cell lengths 5.7669, 5.7669, 5.0539 Å; angles 90.00, 90.00, 90.00 degrees
With the nearest neighbours (Å) after each atom.
Space group P4/mmm (No. 123)
Unique sites:
Na 0.0000 0.5000 0.0000 (multiplicity 2)  2 Ag 2.88
Ag 0.0000 0.0000 0.0000 (multiplicity 1)  2 Sn 2.53
Sn 0.0000 0.0000 0.5000 (multiplicity 1)  2 Ag 2.53
Cl 0.5000 0.5000 0.5000 (multiplicity 1)  8 Na 3.83, 4 Sn 4.08


2.
Density functional theory data (PBE) for a relaxed VInNi2As crystal.

Results
As for the formation energy: 4.29 eV/f.u. The density of states at the Fermi level comes out at 8.006 states/eV/f.u.

Cell lengths 4.2607, 4.2607, 5.2721 Å; angles 90.00, 90.00, 90.00 degrees
With the nearest neighbours (Å) after each atom.
Space group P4/mmm (No. 123)
Unique sites:
V 0.0000 0.0000 0.0000 (multiplicity 1)  4 In 3.01
In 0.5000 0.5000 0.0000 (multiplicity 1)  2 As 2.64
Ni 0.0000 0.5000 0.5000 (multiplicity 2)  2 As 2.13
As 0.5000 0.5000 0.5000 (multiplicity 1)  4 Ni 2.13


3.
Density functional theory data (PBE) for a relaxed PdRhPb2 crystal.

Results
As for the energy above the most stable polymorph in this dataset: 102.7 meV per atom. As for the formation energy: -0.02 eV/f.u. The density of states at the Fermi level comes out at 2.738 states/eV/f.u.

Cell lengths 6.8428, 6.8428, 6.8428 Å; angles 90.00, 90.00, 90.00 degrees
With the nearest neighbours (Å) after each atom.
Space group Fm-3m (No. 225)
Unique sites:
Pd 0.0000 0.0000 0.0000 (multiplicity 4)  8 Pb 2.96
Rh 0.0000 0.0000 0.5000 (multiplicity 4)  8 Pb 2.96
Pb 0.2500 0.2500 0.2500 (multiplicity 8)  4 Rh 2.96, 4 Pd 2.96


4.
Density functional theory data (PBE) for a relaxed TbNd3In3 crystal.

Results
As for the energy above the most stable polymorph in this dataset: 0.0 meV per atom. As for the formation energy: -2.34 eV/f.u. The density of states at the Fermi level comes out at 8.131 states/eV/f.u.

Cell lengths 9.5414, 9.5414, 9.5414 Å; angles 90.00, 90.00, 90.00 degrees
With the nearest neighbours (Å) after each atom.
Space group P2_13 (No. 198)
Unique sites:
Tb 0.0760 0.4240 0.5760 (multiplicity 4)  6 In 3.19-3.36
Nd 0.0705 0.5705 0.9295 (multiplicity 4)  6 In 3.23-3.37
Nd 0.1720 0.1720 0.1720 (multiplicity 4)  6 In 3.23-3.41
Nd 0.1755 0.8245 0.3245 (multiplicity 4)  6 In 3.22-3.44
In 0.0023 0.7454 0.6309 (multiplicity 12)  2 Tb 3.19-3.36, 6 Nd 3.22-3.44


5.
Density functional theory data (PBE) for a relaxed MgTiHg2 crystal.

Results
As for the formation energy: 0.82 eV/f.u. The density of states at the Fermi level comes out at 2.062 states/eV/f.u.

Cell lengths 7.5078, 7.5078, 6.3089 Å; angles 90.00, 90.00, 90.00 degrees
With the nearest neighbours (Å) after each atom.
Space group I-42d (No. 122)
Unique sites:
Mg 0.0000 0.0000 0.0000 (multiplicity 4)  4 Hg 2.79
Ti 0.0000 0.0000 0.5000 (multiplicity 4)  4 Hg 2.75
Hg 0.2456 0.2500 0.6250 (multiplicity 8)  2 Ti 2.75, 2 Mg 2.79


6.
Density functional theory data (PBE) for a relaxed Zr2HgPt crystal.

Results
As for the formation energy: -1.98 eV/f.u. The density of states at the Fermi level comes out at 3.922 states/eV/f.u.

Cell lengths 4.4658, 4.4658, 4.0131 Å; angles 90.00, 90.00, 90.00 degrees
With the nearest neighbours (Å) after each atom.
Space group P4/mmm (No. 123)
Unique sites:
Zr 0.0000 0.5000 0.0000 (multiplicity 2)  4 Hg 3.00, 4 Pt 3.00, 4 Zr 3.16
Hg 0.0000 0.0000 0.5000 (multiplicity 1)  8 Zr 3.00, 4 Pt 3.16
Pt 0.5000 0.5000 0.5000 (multiplicity 1)  8 Zr 3.00, 4 Hg 3.16


7.
Density functional theory data (PBE) for a relaxed TbNd6YTm2 crystal.

Results
As for the formation energy: 1.14 eV/f.u. The density of states at the Fermi level comes out at 14.678 states/eV/f.u.

Cell lengths 9.2550, 15.3045, 9.6779 Å; angles 90.00, 97.67, 90.00 degrees
With the nearest neighbours (Å) after each atom.
Space group C2/c (No. 15)
Unique sites:
Tb 0.0000 0.0286 0.2500 (multiplicity 4)  4 Tm 3.43-3.44, 6 Nd 3.60-3.82
Nd 0.0624 0.1764 0.9457 (multiplicity 8)  7 Nd 3.45-3.81, 1 Tm 3.49, 2 Tb 3.67-3.82
Nd 0.0980 0.3916 0.1194 (multiplicity 8)  3 Nd 3.27-3.45, 3 Tm 3.31-3.48, 2 Y 3.46-3.58
Nd 0.2127 0.2245 0.3153 (multiplicity 8)  3 Nd 3.27-3.64, 1 Y 3.48, 1 Tm 3.49, 1 Tb 3.60
Y 0.0000 0.4095 0.7500 (multiplicity 4)  6 Nd 3.46-3.58, 2 Tm 3.55
Tm 0.2486 0.0484 0.5461 (multiplicity 8)  5 Nd 3.31-3.49, 2 Tb 3.43-3.44, 1 Y 3.55


8.
Density functional theory data (PBE) for a relaxed PuAlTcIr crystal.

Results
As for the formation energy: -1.63 eV/f.u. The density of states at the Fermi level comes out at 2.723 states/eV/f.u.

Cell lengths 6.4529, 6.4529, 6.4529 Å; angles 90.00, 90.00, 90.00 degrees
With the nearest neighbours (Å) after each atom.
Space group F-43m (No. 216)
Unique sites:
Pu 0.0000 0.0000 0.0000 (multiplicity 4)  4 Tc 2.79, 4 Ir 2.79
Al 0.0000 0.0000 0.5000 (multiplicity 4)  4 Tc 2.79, 4 Ir 2.79
Tc 0.2500 0.2500 0.2500 (multiplicity 4)  4 Al 2.79, 4 Pu 2.79
Ir 0.2500 0.2500 0.7500 (multiplicity 4)  4 Al 2.79, 4 Pu 2.79


9.
Density functional theory data (PBE) for a relaxed Hf2MnH4 crystal.

Results
For the energy, the calculation gives -172.13 eV for the cell shown. The density of states at the Fermi level comes out at 2.776 states/eV/f.u.

Cell lengths 5.9341, 5.9341, 8.3850 Å; angles 90.00, 90.00, 90.00 degrees
With the nearest neighbours (Å) after each atom.
Space group I4_1/amd (No. 141, origin choice 2)
Unique sites:
Hf 0.0000 0.0000 0.0000 (multiplicity 8)  6 H 2.06
Mn 0.0000 0.2500 0.3750 (multiplicity 4)  4 H 1.88
H 0.0000 0.0083 0.7539 (multiplicity 16)  1 Mn 1.88, 3 Hf 2.06


10.
Density functional theory data (PBE) for a relaxed Ba2ZnIr crystal.

Results
As for the formation energy: 0.08 eV/f.u. The density of states at the Fermi level comes out at 4.106 states/eV/f.u.

Cell lengths 3.8420, 3.9425, 8.1908 Å; angles 90.00, 90.00, 90.00 degrees
With the nearest neighbours (Å) after each atom.
Space group Pmmm (No. 47)
Unique sites:
Ba 0.0000 0.0000 0.2164 (multiplicity 2)  4 Ir 3.27, 1 Ba 3.54, 4 Zn 3.60
Zn 0.5000 0.5000 0.5000 (multiplicity 1)  8 Ba 3.60, 4 Zn 3.84-3.94
Ir 0.5000 0.5000 0.0000 (multiplicity 1)  8 Ba 3.27


11.
Density functional theory data (PBE) for a relaxed Be2SiOs2 crystal.

Results
The uncorrected formation energy comes out at -0.157 eV per atom. As for the energy above the most stable polymorph in this dataset: 0.0 meV per atom. The density of states at the Fermi level comes out at 2.471 states/eV/f.u.

Cell lengths 6.0892, 6.0892, 2.9546 Å; angles 90.00, 90.00, 90.00 degrees
With the nearest neighbours (Å) after each atom.
Space group P4/mbm (No. 127)
Unique sites:
Be 0.1197 0.3803 0.0000 (multiplicity 4)  1 Be 2.06, 2 Os 2.29
Si 0.0000 0.0000 0.0000 (multiplicity 2)  4 Be 2.43, 8 Os 2.69
Os 0.1771 0.6771 0.5000 (multiplicity 4)  6 Be 2.29-2.36


12.
Density functional theory data (PBE) for a relaxed MgWBr2 crystal.

Results
The uncorrected formation energy comes out at 0.717 eV per atom. As for the energy above the most stable polymorph in this dataset: 759.8 meV per atom. The density of states at the Fermi level comes out at 1.055 states/eV/f.u.

Cell lengths 4.6707, 4.6707, 17.0455 Å; angles 90.00, 90.00, 90.00 degrees
With the nearest neighbours (Å) after each atom.
Space group I-42d (No. 122)
Unique sites:
Mg 0.0000 0.0000 0.0000 (multiplicity 4)  4 Br 2.74
W 0.0000 0.0000 0.5000 (multiplicity 4)  4 Br 2.65
Br 0.2266 0.2500 0.6250 (multiplicity 8)  2 W 2.65, 2 Mg 2.74


Which of these has the lowest density of states at the Fermi level? MgWBr2


What is the formula in the eleventh record? Be2SiOs2


What did the third record say?
Density functional theory data (PBE) for a relaxed PdRhPb2 crystal.

Results
As for the energy above the most stable polymorph in this dataset: 102.7 meV per atom. As for the formation energy: -0.02 eV/f.u. The density of states at the Fermi level comes out at 2.738 states/eV/f.u.

Cell lengths 6.8428, 6.8428, 6.8428 Å; angles 90.00, 90.00, 90.00 degrees
With the nearest neighbours (Å) after each atom.
Space group Fm-3m (No. 225)
Unique sites:
Pd 0.0000 0.0000 0.0000 (multiplicity 4)  8 Pb 2.96
Rh 0.0000 0.0000 0.5000 (multiplicity 4)  8 Pb 2.96
Pb 0.2500 0.2500 0.2500 (multiplicity 8)  4 Rh 2.96, 4 Pd 2.96